Below is KMgPCl2 after structural relaxation, with properties calculated at the GGA-PBEsol level.

CIF file:
```
data_KMgPCl2
_symmetry_space_group_name_H-M 'P 4/m m m'
_symmetry_Int_Tables_number 123
_symmetry_space_group_name_Hall '-P 4 2'
_cell_length_a 5.459
_cell_length_b 5.459
_cell_length_c 5.749
_cell_angle_alpha 90.00
_cell_angle_beta 90.00
_cell_angle_gamma 90.00
loop_
_atom_site_label
_atom_site_type_symbol
_atom_site_fract_x
_atom_site_fract_y
_atom_site_fract_z
K1 K 0.000 0.000 0.000
Mg1 Mg 0.500 0.500 0.500
P1 P 0.000 0.000 0.500
Cl1 Cl 0.000 0.500 0.000
```

Properties
* calculated total energy: -2.3709 eV per atom
* E_form (uncorrected): 0.161 eV per atom

Below is MnZn2Ir after structural relaxation, with properties calculated at the GGA-PBEsol level.

CIF file:
```
data_MnZn2Ir
_symmetry_space_group_name_H-M 'P 4/m m m'
_symmetry_Int_Tables_number 123
_symmetry_space_group_name_Hall '-P 4 2'
_cell_length_a 3.746
_cell_length_b 3.746
_cell_length_c 3.817
_cell_angle_alpha 90.00
_cell_angle_beta 90.00
_cell_angle_gamma 90.00
loop_
_atom_site_label
_atom_site_type_symbol
_atom_site_fract_x
_atom_site_fract_y
_atom_site_fract_z
Mn1 Mn 0.000 0.000 0.000
Zn1 Zn 0.000 0.500 0.500
Ir1 Ir 0.500 0.500 0.000
```

Properties
* calculated total energy: -5.7747 eV per atom
* energy of formation from the pure elements: -0.088 eV/atom

Below is SrTc2 after structural relaxation, with properties calculated at the GGA-PBEsol level.

CIF file:
```
data_SrTc2
_symmetry_space_group_name_H-M 'P 4/m m m'
_symmetry_Int_Tables_number 123
_symmetry_space_group_name_Hall '-P 4 2'
_cell_length_a 3.480
_cell_length_b 3.480
_cell_length_c 5.543
_cell_angle_alpha 90.00
_cell_angle_beta 90.00
_cell_angle_gamma 90.00
loop_
_atom_site_label
_atom_site_type_symbol
_atom_site_fract_x
_atom_site_fract_y
_atom_site_fract_z
Sr1 Sr 0.000 0.000 0.000
Tc1 Tc 0.000 0.500 0.500
```

Properties
* calculated total energy: -7.4156 eV per atom
* energy of formation from the pure elements: 0.709 eV/atom

Below is MnGaS2 after structural relaxation, with properties calculated at the GGA-PBEsol level.

CIF file:
```
data_MnGaS2
_symmetry_space_group_name_H-M 'R -3 m'
_symmetry_Int_Tables_number 166
_symmetry_space_group_name_Hall '-R 3 2"'
_cell_length_a 3.1762
_cell_length_b 3.1762
_cell_length_c 24.0767
_cell_angle_alpha 90.00
_cell_angle_beta 90.00
_cell_angle_gamma 120.00
loop_
_atom_site_label
_atom_site_type_symbol
_atom_site_fract_x
_atom_site_fract_y
_atom_site_fract_z
Mn1 Mn 0.0000 0.0000 0.0000
Ga1 Ga 0.0000 0.0000 0.5000
S1 S 0.0000 0.0000 0.3892
```

Properties
* calculated total energy: -5.8755 eV per atom
* E_form (uncorrected): -0.408 eV per atom

Below is NaYRhI2 after structural relaxation, with properties calculated at the GGA-PBEsol level.

CIF file:
```
data_NaYRhI2
_symmetry_space_group_name_H-M 'P 4/m m m'
_symmetry_Int_Tables_number 123
_symmetry_space_group_name_Hall '-P 4 2'
_cell_length_a 5.967
_cell_length_b 5.967
_cell_length_c 4.906
_cell_angle_alpha 90.00
_cell_angle_beta 90.00
_cell_angle_gamma 90.00
loop_
_atom_site_label
_atom_site_type_symbol
_atom_site_fract_x
_atom_site_fract_y
_atom_site_fract_z
Na1 Na 0.000 0.000 0.000
Y1 Y 0.500 0.500 0.500
Rh1 Rh 0.500 0.500 0.000
I1 I 0.000 0.500 0.500
```

Properties
* calculated total energy: -4.2257 eV per atom
* E_form (uncorrected): -0.247 eV per atom

Below is YP2Au after structural relaxation, with properties calculated at the GGA-PBEsol level.

CIF file:
```
data_YP2Au
_symmetry_space_group_name_H-M 'I m m 2'
_symmetry_Int_Tables_number 44
_symmetry_space_group_name_Hall 'I 2 -2'
_cell_length_a 3.684
_cell_length_b 4.056
_cell_length_c 9.556
_cell_angle_alpha 90.00
_cell_angle_beta 90.00
_cell_angle_gamma 90.00
loop_
_atom_site_label
_atom_site_type_symbol
_atom_site_fract_x
_atom_site_fract_y
_atom_site_fract_z
Y1 Y 0.000 0.000 0.000
P1 P 0.000 0.000 0.528
P2 P 0.000 0.500 0.774
Au1 Au 0.000 0.500 0.237
```

Properties
* calculated total energy: -6.1349 eV per atom
* energy of formation from the pure elements: -0.553 eV/atom